[1]
VASP calculation (SCAN) on TeP2Pb at its PBEsol-relaxed geometry.

Properties
Formation energy (no corrections): 154.6 meV per atom
Fermi-level density of states: 0.382 states/eV/atom
DFT total energy: -33.3028 eV per atom
Excess energy over the best structure of this formula in the dataset: 0 meV per atom

Lattice parameters (Å, degrees): 3.9498 5.1080 5.1789 102.22 90.00 90.00
Positions (direct):
Pb1 0.5000 0.0000 0.5000
P1 0.0000 0.8209 0.8407
P2 0.0000 0.1791 0.1593
Te1 0.5000 0.5000 0.0000

[2]
VASP calculation (SCAN) on ZrTiCo4 at its PBEsol-relaxed geometry.

Properties
Energy relative to the elements: -172 meV/atom
Fermi-level density of states: 1.158 states/eV/atom
DFT total energy: -19.4967 eV per atom

Lattice parameters (Å, degrees): 4.7184 4.7184 4.7184 60.00 60.00 60.00
Positions (direct):
Co1 0.3755 0.3755 0.3755
Co2 0.3755 0.3755 0.8734
Co3 0.3755 0.8734 0.3755
Co4 0.8734 0.3755 0.3755
Zr1 0.0000 0.0000 0.0000
Ti1 0.7500 0.7500 0.7500

Which of these has the highest DFT total energy? ZrTiCo4

Look up the Fermi-level density of states of the second one. 1.158 states/eV/atom

Look up the Fermi-level density of states of the second one. 1.158 states/eV/atom

Which formula does entry 1 have? TeP2Pb